1.
## GeRh2Br (GGA-PBE)

Data for a geometry-optimized GeRh2Br structure.

## Properties
The polymorph energy (0 for the lowest one) is 0.0 meV per atom. The density of states at the Fermi level is 1.50 states/eV per atom. The calculation puts the formation energy (no corrections) at 217 meV per atom. Its total energy is -0.3698 Ry/atom.

Lattice parameters (Å, degrees): 5.205 5.205 12.809 90.00 90.00 90.00
Space group I-42d (No. 122)
Asymmetric unit:
Ge 0.000 0.000 0.000 [4 per cell]
Rh 0.224 0.250 0.125 [8 per cell]
Br 0.000 0.000 0.500 [4 per cell]

---

2.
## InPbO2 (GGA-PBE)

Data for a geometry-optimized InPbO2 structure.

## Properties
The polymorph energy (0 for the lowest one) is 684.3 meV per atom. The density of states at the Fermi level is 0.46 states/eV per atom. The calculation puts the formation energy (no corrections) at -512 meV per atom. Its total energy is -0.3383 Ry/atom.

Lattice parameters (Å, degrees): 6.294 6.294 6.294 90.00 90.00 90.00
Space group Fm-3m (No. 225)
Asymmetric unit:
In 0.000 0.000 0.000 [4 per cell]
Pb 0.000 0.000 0.500 [4 per cell]
O 0.250 0.250 0.250 [8 per cell]

---

3.
## TiZn6Cu (GGA-PBE)

Data for a geometry-optimized TiZn6Cu structure.

## Properties
The polymorph energy (0 for the lowest one) is 0.0 meV per atom. As for the formation energy: -2.32 kcal/mol of atoms. The density of states at the Fermi level is 0.48 states/eV per atom. Its total energy is -0.1878 Ry/atom.

Lattice parameters (Å, degrees): 4.092 4.092 6.922 90.00 90.00 90.00
Space group P4/mmm (No. 123)
Asymmetric unit:
Ti 0.000 0.000 0.000 [1 per cell]
Zn 0.000 0.500 0.262 [4 per cell]
Zn 0.500 0.500 0.000 [1 per cell]
Zn 0.500 0.500 0.500 [1 per cell]
Cu 0.000 0.000 0.500 [1 per cell]